SrCe2Os: optimized geometry, PBE.

Lattice parameters (Å, degrees): 3.5296 3.5296 10.0431 90.00 90.00 90.00
Last column: nearest neighbours and their distance in Å.
Fractional positions:
Sr  0.0000  0.0000  0.0000  4 Sr 3.53
Ce  0.5000  0.5000  0.3395  4 Os 2.97, 1 Ce 3.22
Ce  0.5000  0.5000  0.6605  4 Os 2.97, 1 Ce 3.22
Os  0.0000  0.0000  0.5000  8 Ce 2.97

Output
- Energy relative to the lowest polymorph listed for this composition: 70 meV/atom
- Space group: No. 123
- Energy of formation from the pure elements: 0.0719 eV per atom